1.
A relaxed structure of YBe2Pt, computed with PBE.

abc: 3.074 3.074 6.511
angles: 90.00 90.00 90.00
Fractional positions:
Y 0.500 0.500 0.750
Be 0.500 0.500 0.255
Be 0.000 0.000 0.069
Pt 0.000 0.000 0.425

total energy	-5.272	eV per atom
energy of formation from the pure elements	-0.2822	eV/atom
total magnetic moment	0.000	μB/f.u.
crystal system	tetragonal

=====

2.
A relaxed structure of Sc2TaIr, computed with PBE.

abc: 4.720 4.720 4.720
angles: 60.00 60.00 60.00
Last column: magnetic moment on the atom in μB.
Fractional positions:
Sc 0.250 0.250 0.250  0.35
Sc 0.750 0.750 0.750  0.35
Ta 0.000 0.000 0.000  1.43
Ir 0.500 0.500 0.500  0.08

total energy	-8.483	eV per atom
energy of formation from the pure elements	-0.1393	eV/atom
total magnetic moment	3.047	μB/f.u.
crystal system	cubic

=====

3.
A relaxed structure of PrPuCo4, computed with PBE.

abc: 5.115 5.115 5.115
angles: 60.00 60.00 60.00
Last column: magnetic moment on the atom in μB.
Fractional positions:
Co 0.121 0.626 0.626  -1.22
Co 0.626 0.121 0.626  -1.22
Co 0.626 0.626 0.626  -1.22
Co 0.626 0.626 0.121  -1.22
Pu 0.000 0.000 0.000  5.25
Pr 0.250 0.250 0.250  0.23

total energy	-7.978	eV per atom
energy of formation from the pure elements	-0.0551	eV/atom
total magnetic moment	1.083	μB/f.u.
crystal system	cubic

=====

4.
A relaxed structure of TaVAs2Br, computed with PBE.

abc: 5.008 5.008 5.121
angles: 90.00 90.00 90.00
Last column: magnetic moment on the atom in μB.
Fractional positions:
Ta 0.000 0.000 0.000  0.07
As 0.500 0.000 0.000  -0.07
As 0.000 0.500 0.000  -0.07
Br 0.000 0.000 0.500  -0.02
V 0.500 0.500 0.500  3.08

total energy	-5.764	eV per atom
total magnetic moment	3.488	μB/f.u.
formation energy from raw total energies	0.625	eV/atom
crystal system	tetragonal

=====

5.
A relaxed structure of La5Sb2Os, computed with PBE.

abc: 8.371 9.250 12.885
angles: 90.00 90.00 90.00
Fractional positions:
La 0.152 0.250 0.796
La 0.683 0.037 0.437
La 0.817 0.463 0.937
La 0.548 0.750 0.996
La 0.817 0.037 0.937
La 0.683 0.463 0.437
La 0.878 0.250 0.198
La 0.317 0.537 0.563
La 0.048 0.250 0.504
La 0.622 0.250 0.698
La 0.378 0.750 0.302
La 0.183 0.537 0.063
La 0.122 0.750 0.802
La 0.317 0.963 0.563
La 0.652 0.750 0.704
La 0.952 0.750 0.496
La 0.452 0.250 0.004
La 0.348 0.250 0.296
La 0.848 0.750 0.204
La 0.183 0.963 0.063
Os 0.422 0.250 0.515
Os 0.922 0.750 0.985
Os 0.578 0.750 0.485
Os 0.078 0.250 0.015
Sb 0.423 0.993 0.828
Sb 0.423 0.507 0.828
Sb 0.077 0.507 0.328
Sb 0.077 0.993 0.328
Sb 0.923 0.493 0.672
Sb 0.577 0.007 0.172
Sb 0.923 0.007 0.672
Sb 0.577 0.493 0.172

total energy	-6.315	eV per atom
total magnetic moment	0.000	μB/f.u.
formation energy from raw total energies	-0.801	eV/atom
crystal system	orthorhombic

=====

6.
A relaxed structure of Ni2AgMo, computed with PBE.

abc: 2.716 4.746 4.410
angles: 90.00 90.00 90.00
Last column: magnetic moment on the atom in μB.
Fractional positions:
Ni 0.000 0.000 0.000  0.56
Ni 0.500 0.500 0.000  0.22
Ag 0.500 0.000 0.500  0.02
Mo 0.000 0.500 0.500  0.12

total energy	-5.787	eV per atom
energy of formation from the pure elements	0.5245	eV/atom
total magnetic moment	0.900	μB/f.u.
crystal system	orthorhombic

=====

7.
A relaxed structure of RbMgBi2, computed with PBE.

abc: 4.153 4.153 8.105
angles: 90.00 90.00 90.00
Fractional positions:
Rb 0.500 0.500 0.500
Mg 0.500 0.500 0.000
Bi 0.000 0.000 0.184
Bi 0.000 0.000 0.816

total energy	-2.762	eV per atom
energy of formation from the pure elements	-0.1813	eV/atom
total magnetic moment	0.000	μB/f.u.
crystal system	tetragonal

=====

8.
A relaxed structure of ScMn2Hg, computed with PBE.

abc: 5.396 5.396 2.962
angles: 77.59 77.59 115.33
Last column: magnetic moment on the atom in μB.
Fractional positions:
Mn 0.000 0.000 0.000  3.32
Mn 0.500 0.500 0.000  3.32
Sc 0.500 0.000 0.500  -0.45
Hg 0.000 0.500 0.500  -0.05

total energy	-5.955	eV per atom
energy of formation from the pure elements	0.2878	eV/atom
total magnetic moment	6.160	μB/f.u.
crystal system	monoclinic

=====

9.
A relaxed structure of AcPm3Rh3, computed with PBE.

abc: 5.719 11.766 11.767
angles: 90.00 90.00 90.00
Fractional positions:
Rh 0.000 0.622 0.870
Rh 0.000 0.870 0.622
Rh 0.500 0.122 0.630
Rh 0.500 0.623 0.623
Rh 0.000 0.877 0.123
Rh 0.000 0.123 0.877
Rh 0.500 0.370 0.878
Rh 0.000 0.378 0.130
Rh 0.500 0.630 0.122
Rh 0.500 0.878 0.370
Rh 0.500 0.377 0.377
Rh 0.000 0.130 0.378
Pm 0.000 0.367 0.367
Pm 0.500 0.873 0.613
Pm 0.500 0.127 0.387
Pm 0.500 0.387 0.127
Pm 0.000 0.887 0.373
Pm 0.000 0.627 0.113
Pm 0.500 0.867 0.133
Pm 0.500 0.613 0.873
Pm 0.500 0.133 0.867
Pm 0.000 0.113 0.627
Pm 0.000 0.373 0.887
Pm 0.000 0.633 0.633
Ac 0.500 0.373 0.627
Ac 0.000 0.127 0.127
Ac 0.500 0.627 0.373
Ac 0.000 0.873 0.873

total energy	-6.354	eV per atom
energy of formation from the pure elements	-0.5804	eV/atom
total magnetic moment	0.000	μB/f.u.
crystal system	tetragonal

=====

10.
A relaxed structure of YHf2In, computed with PBE.

abc: 4.598 4.534 4.534
angles: 90.00 90.00 90.00
Fractional positions:
Y 0.500 0.500 0.500
In 0.500 0.000 0.000
Hf 0.000 0.500 0.000
Hf 0.000 0.000 0.500

total energy	-7.355	eV per atom
energy of formation from the pure elements	-0.0776	eV/atom
total magnetic moment	0.000	μB/f.u.
crystal system	tetragonal

=====

11.
A relaxed structure of Cd2PbW, computed with PBE.

abc: 2.947 2.947 11.456
angles: 90.00 90.00 107.83
Fractional positions:
Cd 0.500 0.500 0.215
Cd 0.000 0.000 0.968
Pb 0.000 0.000 0.552
W 0.500 0.500 0.765

total energy	-4.065	eV per atom
energy of formation from the pure elements	0.5583	eV/atom
total magnetic moment	0.000	μB/f.u.
crystal system	orthorhombic

=====

12.
A relaxed structure of Zr4Al, computed with PBE.

abc: 7.782 7.782 7.782
angles: 150.01 150.01 42.92
Fractional positions:
Zr 0.587 0.587 0.000
Zr 0.413 0.413 0.000
Zr 0.250 0.750 0.500
Zr 0.750 0.250 0.500
Al 0.000 0.000 0.000

total energy	-7.173	eV per atom
energy of formation from the pure elements	0.4138	eV/atom
total magnetic moment	0.000	μB/f.u.
crystal system	tetragonal

=====

13.
A relaxed structure of Ce2SiPt, computed with PBE.

abc: 3.057 3.057 10.558
angles: 81.68 81.68 60.00
Fractional positions:
Pt 0.000 0.000 0.000
Ce 0.087 0.087 0.739
Ce 0.913 0.913 0.261
Si 0.500 0.500 0.500

total energy	-5.955	eV per atom
total magnetic moment	0.000	μB/f.u.
formation energy from raw total energies	-0.122	eV/atom
crystal system	trigonal